# Sm2Dy8Zr GGA-PBE optimized geometry
data_Sm2Dy8Zr
_cell_length_a 16.511
_cell_length_b 6.540
_cell_length_c 6.610
_cell_angle_alpha 90.00
_cell_angle_beta 102.62
_cell_angle_gamma 90.00
_space_group_name_H-M_alt 'C 1 2/m 1'
_space_group_IT_number 12
loop_
_space_group_symop_operation_xyz
'x,y,z'
'-x,-y,-z'
'-x,y,-z'
'x,-y,z'
'x+1/2,y+1/2,z'
'-x+1/2,-y+1/2,-z'
'-x+1/2,y+1/2,-z'
'x+1/2,-y+1/2,z'
loop_
_atom_site_label
_atom_site_type_symbol
_atom_site_fract_x
_atom_site_fract_y
_atom_site_fract_z
Sm1 Sm 0.185 0.000 0.315
Dy1 Dy 0.080 0.257 0.887
Dy2 Dy 0.093 0.500 0.416
Dy3 Dy 0.245 0.000 0.830
Zr1 Zr 0.000 0.000 0.500
# ΔE to the lowest computed polymorph   15.49 kJ per mole of atoms
# E_tot   -105.14 eV per cell
# Size of the total moment   0.0 μB per formula unit
# Energy of formation   2.231 eV/f.u.